1.
LaZnAsO: relaxed, GGA-PBE.

Values from the calculation:
- Calculated volume: 22.924 Å³/atom
- Total energy: -4.38 eV/atom

```
data_LaZnAsO
_space_group_name_H-M_alt 'P 4/n m m'
_space_group_IT_number 129
_cell_length_a 4.373
_cell_length_b 4.373
_cell_length_c 9.592
_cell_angle_alpha 90.00
_cell_angle_beta 90.00
_cell_angle_gamma 90.00
loop_
_space_group_symop_operation_xyz
'x,y,z'
'-x,-y,-z'
'-y+1/2,x,z'
'y+1/2,-x,-z'
'-x+1/2,-y+1/2,z'
'x+1/2,y+1/2,-z'
'y,-x+1/2,z'
'-y,x+1/2,-z'
'x+1/2,-y,-z'
'-x+1/2,y,z'
'-y,-x,-z'
'y,x,z'
'-x,y+1/2,-z'
'x,-y+1/2,z'
'y+1/2,x+1/2,-z'
'-y+1/2,-x+1/2,z'
loop_
_atom_site_label
_atom_site_fract_x
_atom_site_fract_y
_atom_site_fract_z
La1 0.250 0.750 0.000
Zn1 0.250 0.250 0.482
As1 0.250 0.250 0.200
O1 0.250 0.750 0.500
```

***

2.
LaZnAsO: relaxed, GGA-PBE.

Values from the calculation:
- Calculated volume: 19.038 Å³/atom
- Total energy: -5.85 eV/atom

```
data_LaZnAsO
_space_group_name_H-M_alt 'P 4/n m m'
_space_group_IT_number 129
_cell_length_a 4.095
_cell_length_b 4.095
_cell_length_c 9.082
_cell_angle_alpha 90.00
_cell_angle_beta 90.00
_cell_angle_gamma 90.00
loop_
_space_group_symop_operation_xyz
'x,y,z'
'-x,-y,-z'
'-y+1/2,x,z'
'y+1/2,-x,-z'
'-x+1/2,-y+1/2,z'
'x+1/2,y+1/2,-z'
'y,-x+1/2,z'
'-y,x+1/2,-z'
'x+1/2,-y,-z'
'-x+1/2,y,z'
'-y,-x,-z'
'y,x,z'
'-x,y+1/2,-z'
'x,-y+1/2,z'
'y+1/2,x+1/2,-z'
'-y+1/2,-x+1/2,z'
loop_
_atom_site_label
_atom_site_fract_x
_atom_site_fract_y
_atom_site_fract_z
La1 0.250 0.250 0.134
Zn1 0.250 0.750 0.500
As1 0.250 0.250 0.673
O1 0.250 0.750 0.000
```

***

3.
LaAsOs: relaxed, GGA-PBE.

Values from the calculation:
- Calculated volume: 23.206 Å³/atom
- Total energy: -7.01 eV/atom

```
data_LaAsOs
_space_group_name_H-M_alt 'F -4 3 m'
_space_group_IT_number 216
_space_group_name_Hall 'F -4 2 3'
_cell_length_a 6.530
_cell_length_b 6.530
_cell_length_c 6.530
_cell_angle_alpha 90.00
_cell_angle_beta 90.00
_cell_angle_gamma 90.00
loop_
_atom_site_label
_atom_site_fract_x
_atom_site_fract_y
_atom_site_fract_z
La1 0.000 0.000 0.000
As1 0.000 0.000 0.500
Os1 0.250 0.250 0.750
```

***

4.
LaAsPPd2: relaxed, GGA-PBE.

Values from the calculation:
- Calculated volume: 19.031 Å³/atom
- Total energy: -6.04 eV/atom

```
data_LaAsPPd2
_space_group_name_H-M_alt 'P 4/n m m'
_space_group_IT_number 129
_cell_length_a 4.384
_cell_length_b 4.384
_cell_length_c 9.901
_cell_angle_alpha 90.00
_cell_angle_beta 90.00
_cell_angle_gamma 90.00
loop_
_space_group_symop_operation_xyz
'x,y,z'
'-x,-y,-z'
'-y+1/2,x,z'
'y+1/2,-x,-z'
'-x+1/2,-y+1/2,z'
'x+1/2,y+1/2,-z'
'y,-x+1/2,z'
'-y,x+1/2,-z'
'x+1/2,-y,-z'
'-x+1/2,y,z'
'-y,-x,-z'
'y,x,z'
'-x,y+1/2,-z'
'x,-y+1/2,z'
'y+1/2,x+1/2,-z'
'-y+1/2,-x+1/2,z'
loop_
_atom_site_label
_atom_site_fract_x
_atom_site_fract_y
_atom_site_fract_z
La1 0.250 0.250 0.244
As1 0.250 0.750 0.500
P1 0.250 0.250 0.873
Pd1 0.250 0.250 0.632
Pd2 0.250 0.750 0.000
```

***

5.
LaAsPd: relaxed, GGA-PBE.

Values from the calculation:
- Calculated volume: 22.499 Å³/atom
- Total energy: -6.19 eV/atom

```
data_LaAsPd
_space_group_name_H-M_alt 'P 63/m m c'
_space_group_IT_number 194
_space_group_name_Hall '-P 6c 2c'
_cell_length_a 4.4167
_cell_length_b 4.4167
_cell_length_c 7.9908
_cell_angle_alpha 90.00
_cell_angle_beta 90.00
_cell_angle_gamma 120.00
loop_
_atom_site_label
_atom_site_fract_x
_atom_site_fract_y
_atom_site_fract_z
La1 0.0000 0.0000 0.0000
As1 0.3333 0.6667 0.2500
Pd1 0.3333 0.6667 0.7500
```

***

6.
LaAsPd: relaxed, GGA-PBE.

Values from the calculation:
- Calculated volume: 22.948 Å³/atom
- Total energy: -5.77 eV/atom

```
data_LaAsPd
_space_group_name_H-M_alt 'P 63/m m c'
_space_group_IT_number 194
_space_group_name_Hall '-P 6c 2c'
_cell_length_a 5.1207
_cell_length_b 5.1207
_cell_length_c 6.0633
_cell_angle_alpha 90.00
_cell_angle_beta 90.00
_cell_angle_gamma 120.00
loop_
_atom_site_label
_atom_site_fract_x
_atom_site_fract_y
_atom_site_fract_z
La1 0.3333 0.6667 0.2500
As1 0.3333 0.6667 0.7500
Pd1 0.0000 0.0000 0.0000
```

***

7.
LaPrAs2Pd2: relaxed, GGA-PBE.

Values from the calculation:
- Calculated volume: 22.277 Å³/atom
- Total energy: -6.12 eV/atom

```
data_LaPrAs2Pd2
_space_group_name_H-M_alt 'P -3 m 1'
_space_group_IT_number 164
_space_group_name_Hall '-P 3 2"'
_cell_length_a 4.4075
_cell_length_b 4.4075
_cell_length_c 7.9450
_cell_angle_alpha 90.00
_cell_angle_beta 90.00
_cell_angle_gamma 120.00
loop_
_atom_site_label
_atom_site_fract_x
_atom_site_fract_y
_atom_site_fract_z
La1 0.0000 0.0000 0.0000
Pr1 0.0000 0.0000 0.5000
As1 0.3333 0.6667 0.2519
Pd1 0.3333 0.6667 0.7472
```

***

8.
La2SbAsPd2: relaxed, GGA-PBE.

Values from the calculation:
- Calculated volume: 23.993 Å³/atom
- Total energy: -6.02 eV/atom

```
data_La2SbAsPd2
_space_group_name_H-M_alt 'P 3 m 1'
_space_group_IT_number 156
_space_group_name_Hall 'P 3 -2"'
_cell_length_a 4.5299
_cell_length_b 4.5299
_cell_length_c 8.1009
_cell_angle_alpha 90.00
_cell_angle_beta 90.00
_cell_angle_gamma 120.00
loop_
_atom_site_label
_atom_site_fract_x
_atom_site_fract_y
_atom_site_fract_z
La1 0.0000 0.0000 0.0000
La2 0.0000 0.0000 0.4806
Sb1 0.3333 0.6667 0.7381
As1 0.6667 0.3333 0.2380
Pd1 0.3333 0.6667 0.2426
Pd2 0.6667 0.3333 0.7433
```

***

9.
La2SbAsPd2: relaxed, GGA-PBE.

Values from the calculation:
- Calculated volume: 23.987 Å³/atom
- Total energy: -6.02 eV/atom

```
data_La2SbAsPd2
_space_group_name_H-M_alt 'P -6 m 2'
_space_group_IT_number 187
_space_group_name_Hall 'P -6 2'
_cell_length_a 4.5398
_cell_length_b 4.5398
_cell_length_c 8.0637
_cell_angle_alpha 90.00
_cell_angle_beta 90.00
_cell_angle_gamma 120.00
loop_
_atom_site_label
_atom_site_fract_x
_atom_site_fract_y
_atom_site_fract_z
La1 0.0000 0.0000 0.2402
Sb1 0.3333 0.6667 0.5000
As1 0.6667 0.3333 0.0000
Pd1 0.3333 0.6667 0.0000
Pd2 0.6667 0.3333 0.5000
```

***

10.
La2SiAsPd2: relaxed, GGA-PBE.

Values from the calculation:
- Calculated volume: 22.514 Å³/atom
- Total energy: -6.14 eV/atom

```
data_La2SiAsPd2
_space_group_name_H-M_alt 'P -6 m 2'
_space_group_IT_number 187
_space_group_name_Hall 'P -6 2'
_cell_length_a 4.3407
_cell_length_b 4.3407
_cell_length_c 8.2782
_cell_angle_alpha 90.00
_cell_angle_beta 90.00
_cell_angle_gamma 120.00
loop_
_atom_site_label
_atom_site_fract_x
_atom_site_fract_y
_atom_site_fract_z
La1 0.0000 0.0000 0.2502
Si1 0.3333 0.6667 0.0000
As1 0.6667 0.3333 0.5000
Pd1 0.3333 0.6667 0.5000
Pd2 0.6667 0.3333 0.0000
```

***

11.
LaSmAs2Pd2: relaxed, GGA-PBE.

Values from the calculation:
- Calculated volume: 21.777 Å³/atom
- Total energy: -6.11 eV/atom

```
data_LaSmAs2Pd2
_space_group_name_H-M_alt 'P 3 m 1'
_space_group_IT_number 156
_space_group_name_Hall 'P 3 -2"'
_cell_length_a 4.3898
_cell_length_b 4.3898
_cell_length_c 7.8294
_cell_angle_alpha 90.00
_cell_angle_beta 90.00
_cell_angle_gamma 120.00
loop_
_atom_site_label
_atom_site_fract_x
_atom_site_fract_y
_atom_site_fract_z
La1 0.0000 0.0000 0.0000
Sm1 0.0000 0.0000 0.5006
As1 0.3333 0.6667 0.2660
As2 0.6667 0.3333 0.7521
Pd1 0.3333 0.6667 0.7327
Pd2 0.6667 0.3333 0.2516
```

***

12.
La2PrAs3: relaxed, GGA-PBE.

Values from the calculation:
- Calculated volume: 29.130 Å³/atom
- Total energy: -6.31 eV/atom

```
data_La2PrAs3
_space_group_name_H-M_alt 'I m m m'
_space_group_IT_number 71
_space_group_name_Hall '-I 2 2'
_cell_length_a 4.353
_cell_length_b 6.154
_cell_length_c 13.050
_cell_angle_alpha 90.00
_cell_angle_beta 90.00
_cell_angle_gamma 90.00
loop_
_atom_site_label
_atom_site_fract_x
_atom_site_fract_y
_atom_site_fract_z
La1 0.000 0.000 0.167
Pr1 0.000 0.000 0.500
As1 0.000 0.500 0.166
As2 0.000 0.500 0.500
```

***

13.
LaPrAs2: relaxed, GGA-PBE.

Values from the calculation:
- Calculated volume: 28.895 Å³/atom
- Total energy: -6.29 eV/atom

```
data_LaPrAs2
_space_group_name_H-M_alt 'R -3 m'
_space_group_IT_number 166
_space_group_name_Hall '-R 3 2"'
_cell_length_a 4.3400
_cell_length_b 4.3400
_cell_length_c 21.2566
_cell_angle_alpha 90.00
_cell_angle_beta 90.00
_cell_angle_gamma 120.00
loop_
_atom_site_label
_atom_site_fract_x
_atom_site_fract_y
_atom_site_fract_z
La1 0.0000 0.0000 0.0000
Pr1 0.0000 0.0000 0.5000
As1 0.0000 0.0000 0.2493
```

***

14.
LaPr3As4: relaxed, GGA-PBE.

Values from the calculation:
- Calculated volume: 28.549 Å³/atom
- Total energy: -6.25 eV/atom

```
data_LaPr3As4
_space_group_name_H-M_alt 'C m m m'
_space_group_IT_number 65
_space_group_name_Hall '-C 2 2'
_cell_length_a 8.643
_cell_length_b 12.224
_cell_length_c 4.323
_cell_angle_alpha 90.00
_cell_angle_beta 90.00
_cell_angle_gamma 90.00
loop_
_atom_site_label
_atom_site_fract_x
_atom_site_fract_y
_atom_site_fract_z
La1 0.000 0.000 0.000
Pr1 0.000 0.500 0.000
Pr2 0.250 0.250 0.500
As1 0.000 0.251 0.000
As2 0.249 0.500 0.500
```

***

15.
LaPr2As3: relaxed, GGA-PBE.

Values from the calculation:
- Calculated volume: 28.617 Å³/atom
- Total energy: -6.26 eV/atom

```
data_LaPr2As3
_space_group_name_H-M_alt 'P -3 m 1'
_space_group_IT_number 164
_space_group_name_Hall '-P 3 2"'
_cell_length_a 4.3246
_cell_length_b 4.3246
_cell_length_c 10.6012
_cell_angle_alpha 90.00
_cell_angle_beta 90.00
_cell_angle_gamma 120.00
loop_
_atom_site_label
_atom_site_fract_x
_atom_site_fract_y
_atom_site_fract_z
La1 0.0000 0.0000 0.0000
Pr1 0.3333 0.6667 0.3346
As1 0.0000 0.0000 0.5000
As2 0.3333 0.6667 0.8319
```

***

16.
La2PrAs3: relaxed, GGA-PBE.

Values from the calculation:
- Calculated volume: 29.181 Å³/atom
- Total energy: -6.31 eV/atom

```
data_La2PrAs3
_space_group_name_H-M_alt 'P -3 m 1'
_space_group_IT_number 164
_space_group_name_Hall '-P 3 2"'
_cell_length_a 4.3541
_cell_length_b 4.3541
_cell_length_c 10.6640
_cell_angle_alpha 90.00
_cell_angle_beta 90.00
_cell_angle_gamma 120.00
loop_
_atom_site_label
_atom_site_fract_x
_atom_site_fract_y
_atom_site_fract_z
La1 0.3333 0.6667 0.3317
Pr1 0.0000 0.0000 0.0000
As1 0.0000 0.0000 0.5000
As2 0.3333 0.6667 0.8351
```

***

17.
La3PrAs4: relaxed, GGA-PBE.

Values from the calculation:
- Calculated volume: 29.251 Å³/atom
- Total energy: -6.33 eV/atom

```
data_La3PrAs4
_space_group_name_H-M_alt 'C m m m'
_space_group_IT_number 65
_space_group_name_Hall '-C 2 2'
_cell_length_a 8.713
_cell_length_b 12.323
_cell_length_c 4.359
_cell_angle_alpha 90.00
_cell_angle_beta 90.00
_cell_angle_gamma 90.00
loop_
_atom_site_label
_atom_site_fract_x
_atom_site_fract_y
_atom_site_fract_z
La1 0.000 0.000 0.000
La2 0.250 0.250 0.500
Pr1 0.000 0.500 0.000
As1 0.000 0.251 0.000
As2 0.249 0.500 0.500
```

***

18.
LaPrAs2Pt2: relaxed, GGA-PBE.

Values from the calculation:
- Calculated volume: 22.395 Å³/atom
- Relative energy among the computed polymorphs: 0.0 meV/atom
- Total energy: -6.47 eV/atom

```
data_LaPrAs2Pt2
_space_group_name_H-M_alt 'P 63/m m c'
_space_group_IT_number 194
_space_group_name_Hall '-P 6c 2c'
_cell_length_a 4.3815
_cell_length_b 4.3815
_cell_length_c 16.1644
_cell_angle_alpha 90.00
_cell_angle_beta 90.00
_cell_angle_gamma 120.00
loop_
_atom_site_label
_atom_site_fract_x
_atom_site_fract_y
_atom_site_fract_z
La1 0.0000 0.0000 0.0000
Pr1 0.0000 0.0000 0.2500
As1 0.3333 0.6667 0.1208
Pt1 0.3333 0.6667 0.6318
```

***

19.
LaSbAsPt2: relaxed, GGA-PBE.

Values from the calculation:
- Calculated volume: 21.590 Å³/atom
- Total energy: -6.11 eV/atom

```
data_LaSbAsPt2
_space_group_name_H-M_alt 'P 4/n m m'
_space_group_IT_number 129
_cell_length_a 4.627
_cell_length_b 4.627
_cell_length_c 10.084
_cell_angle_alpha 90.00
_cell_angle_beta 90.00
_cell_angle_gamma 90.00
loop_
_space_group_symop_operation_xyz
'x,y,z'
'-x,-y,-z'
'-y+1/2,x,z'
'y+1/2,-x,-z'
'-x+1/2,-y+1/2,z'
'x+1/2,y+1/2,-z'
'y,-x+1/2,z'
'-y,x+1/2,-z'
'x+1/2,-y,-z'
'-x+1/2,y,z'
'-y,-x,-z'
'y,x,z'
'-x,y+1/2,-z'
'x,-y+1/2,z'
'y+1/2,x+1/2,-z'
'-y+1/2,-x+1/2,z'
loop_
_atom_site_label
_atom_site_fract_x
_atom_site_fract_y
_atom_site_fract_z
La1 0.250 0.250 0.240
Sb1 0.250 0.250 0.634
As1 0.250 0.750 0.000
Pt1 0.250 0.250 0.894
Pt2 0.250 0.750 0.500
```

***

20.
LaSmAs2Pt2: relaxed, GGA-PBE.

Values from the calculation:
- Calculated volume: 21.907 Å³/atom
- Relative energy among the computed polymorphs: 0.0 meV/atom
- Total energy: -6.47 eV/atom

```
data_LaSmAs2Pt2
_space_group_name_H-M_alt 'P 63/m m c'
_space_group_IT_number 194
_space_group_name_Hall '-P 6c 2c'
_cell_length_a 4.3664
_cell_length_b 4.3664
_cell_length_c 15.9222
_cell_angle_alpha 90.00
_cell_angle_beta 90.00
_cell_angle_gamma 120.00
loop_
_atom_site_label
_atom_site_fract_x
_atom_site_fract_y
_atom_site_fract_z
La1 0.0000 0.0000 0.0000
Sm1 0.0000 0.0000 0.2500
As1 0.3333 0.6667 0.1207
Pt1 0.3333 0.6667 0.6381
```